No. 1
First-principles (PBE-GGA) data for a relaxed structure of PmLuIr4, as listed in the Alexandria database.

```
6
Lattice="0.000 3.797 3.797 3.797 0.000 3.797 3.797 3.797 0.000" Properties=species:S:1:pos:R:3 pbc="T T T"
Pm 0.000 0.000 0.000
Lu 5.696 5.696 5.696
Ir 2.849 2.849 2.849
Ir 4.745 4.745 2.849
Ir 4.745 2.849 4.745
Ir 2.849 4.745 4.745
```

- Space-group type: No. 216
- Uncorrected energy: -49.33 eV/cell
- Energy of formation from the pure elements: -0.77 eV per atom



No. 2
First-principles (PBE-GGA) data for a relaxed structure of PmLuIr, as listed in the Alexandria database.

```
3
Lattice="4.131 0.000 0.000 -2.066 3.578 0.000 0.000 0.000 6.102" Properties=species:S:1:pos:R:3 pbc="T T T"
Pm 0.000 0.000 0.000
Lu 2.066 1.193 2.813
Ir 0.000 2.385 1.511
```

- Polymorph energy (0 for the lowest one): 124.0 meV per atom
- Space-group type: No. 156
- Uncorrected energy: -19.72 eV/cell
- Energy of formation from the pure elements: -0.53 eV per atom



No. 3
First-principles (PBE-GGA) data for a relaxed structure of PmLu2Ir, as listed in the Alexandria database.

```
4
Lattice="2.281 1.317 6.032 -2.281 1.317 6.032 0.000 -2.634 6.032" Properties=species:S:1:pos:R:3 pbc="T T T"
Pm 0.000 0.000 0.000
Lu 0.000 0.000 3.910
Lu 0.000 0.000 14.186
Ir 0.000 0.000 9.048
```

- Polymorph energy (0 for the lowest one): 228.9 meV per atom
- Space-group type: No. 166
- Uncorrected energy: -23.74 eV/cell
- Energy of formation from the pure elements: -0.27 eV per atom



No. 4
First-principles (PBE-GGA) data for a relaxed structure of PmLuIrPt, as listed in the Alexandria database.

```
4
Lattice="0.000 3.474 3.474 3.474 0.000 3.474 3.474 3.474 0.000" Properties=species:S:1:pos:R:3 pbc="T T T"
Pm 0.000 0.000 0.000
Lu 3.474 3.474 3.474
Ir 1.737 1.737 1.737
Pt 5.211 5.211 5.211
```

- Space-group type: No. 216
- Uncorrected energy: -28.02 eV/cell
- Energy of formation from the pure elements: -0.96 eV per atom



No. 5
First-principles (PBE-GGA) data for a relaxed structure of PmLuIrRh, as listed in the Alexandria database.

```
4
Lattice="0.000 3.439 3.439 3.439 0.000 3.439 3.439 3.439 0.000" Properties=species:S:1:pos:R:3 pbc="T T T"
Pm 0.000 0.000 0.000
Lu 3.439 3.439 3.439
Ir 5.158 5.158 5.158
Rh 1.719 1.719 1.719
```

- Space-group type: No. 216
- Uncorrected energy: -28.73 eV/cell
- Energy of formation from the pure elements: -0.81 eV per atom



No. 6
First-principles (PBE-GGA) data for a relaxed structure of PmLuIrRu, as listed in the Alexandria database.

```
4
Lattice="0.000 3.424 3.424 3.424 0.000 3.424 3.424 3.424 0.000" Properties=species:S:1:pos:R:3 pbc="T T T"
Pm 0.000 0.000 0.000
Lu 3.424 3.424 3.424
Ir 1.712 1.712 1.712
Ru 5.137 5.137 5.137
```

- Space-group type: No. 216
- Uncorrected energy: -29.57 eV/cell
- Energy of formation from the pure elements: -0.54 eV per atom